[1]
CaPrNd2Bi4: relaxed, PBE.

Output
Total moment (μB per formula unit): 0.0
D(E_F) (states/eV/f.u.): 5.08
Total DFT energy (no corrections) (eV per formula unit): -38.74
Formation energy (kJ per mole of atoms): -83.19

POSCAR file:
```
CaPrNd2Bi4
1.0
0.0000 4.6233 6.5416
4.6163 0.0000 6.5416
4.6163 4.6233 0.0000
Ca Pr Nd Bi
1 1 2 4
Direct
0.0000 0.0000 0.0000
0.5000 0.5000 0.5000
0.2500 0.2500 0.2500
0.7500 0.7500 0.7500
0.0000 0.0000 0.5000
0.2511 0.2511 0.7489
0.5000 0.5000 0.0000
0.7489 0.7489 0.2511
```

[2]
CaH3Pt: relaxed, PBE.

Output
Total moment (μB per formula unit): 0.0
D(E_F) (states/eV/f.u.): 2.92
Total DFT energy (no corrections) (eV per formula unit): -14.86

POSCAR file:
```
CaH3Pt
1.0
3.9043 0.0000 0.0000
0.0000 3.9043 0.0000
0.0000 0.0000 3.9043
Ca H Pt
1 3 1
Direct
0.0000 0.0000 0.0000
0.0000 0.0000 0.5000
0.0000 0.5000 0.0000
0.5000 0.0000 0.0000
0.5000 0.5000 0.5000
```

[3]
Li2CuSiTe4: relaxed, PBE.

Output
Total moment (μB per formula unit): 0.0
D(E_F) (states/eV/f.u.): 8.03
Energy relative to the elements, uncorrected (meV/atom): -378
Total DFT energy (no corrections) (eV per formula unit): -28.94

POSCAR file:
```
Li2CuSiTe4
1.0
9.0267 0.0000 0.0000
0.0000 11.3577 0.0000
-4.5093 0.0000 4.5139
Li Cu Si Te
4 2 2 8
Direct
0.0000 0.0000 0.0000
0.0000 0.2499 0.5000
0.5000 0.5000 0.0000
0.5000 0.7499 0.5000
0.0000 0.7504 0.5000
0.5000 0.2504 0.5000
0.0000 0.5001 0.0000
0.5000 0.0001 0.0000
0.2215 0.6279 0.4641
0.2425 0.3723 0.0208
0.2575 0.8723 0.9792
0.2785 0.1279 0.5359
0.7215 0.1279 0.4641
0.7425 0.8723 0.0208
0.7575 0.3723 0.9792
0.7785 0.6279 0.5359
```

[4]
YOs2Au: relaxed, PBE.

Output
Total moment (μB per formula unit): 0.0
D(E_F) (states/eV/f.u.): 3.66
Relative energy among the computed polymorphs (eV/atom): 0.374
Total DFT energy (no corrections) (eV per formula unit): -30.43
Formation energy (kJ per mole of atoms): 42.72

POSCAR file:
```
YOs2Au
1.0
5.7401 0.0000 0.0000
0.0000 7.9462 0.0000
0.0000 0.0000 3.0900
Y Os Au
2 4 2
Direct
0.0000 0.0000 0.0000
0.5000 0.5000 0.0000
0.2500 0.2500 0.5000
0.2500 0.7500 0.5000
0.7500 0.2500 0.5000
0.7500 0.7500 0.5000
0.0000 0.5000 0.0000
0.5000 0.0000 0.0000
```

[5]
Tl2SiAg: relaxed, PBE.

Output
Total moment (μB per formula unit): 0.0
D(E_F) (states/eV/f.u.): 2.09
Energy relative to the elements, uncorrected (meV/atom): 426
Relative energy among the computed polymorphs (eV/atom): 0.168
Total DFT energy (no corrections) (eV per formula unit): -11.30

POSCAR file:
```
Tl2SiAg
1.0
4.5399 0.0000 0.0000
0.0000 4.5399 0.0000
0.0000 0.0000 9.0857
Tl Si Ag
4 2 2
Direct
0.0000 0.0000 0.0000
0.0000 0.5000 0.2500
0.5000 0.0000 0.7500
0.5000 0.5000 0.5000
0.0000 0.0000 0.5000
0.5000 0.5000 0.0000
0.0000 0.5000 0.7500
0.5000 0.0000 0.2500
```

[6]
CdHg6Pb12: relaxed, PBE.

Output
Total moment (μB per formula unit): 0.0
D(E_F) (states/eV/f.u.): 8.20
Relative energy among the computed polymorphs (eV/atom): 0.000
Total DFT energy (no corrections) (eV per formula unit): -46.52
Formation energy (kJ per mole of atoms): 3.59

POSCAR file:
```
CdHg6Pb12
1.0
5.2410 3.0259 5.9358
-5.2410 3.0259 5.9358
0.0000 -6.0518 5.9358
Cd Hg Pb
1 6 12
Direct
0.0000 0.0000 0.0000
0.1484 0.7740 0.7740
0.2260 0.2260 0.8516
0.2260 0.8516 0.2260
0.7740 0.1484 0.7740
0.7740 0.7740 0.1484
0.8516 0.2260 0.2260
0.1382 0.1382 0.4771
0.1382 0.4771 0.1382
0.1912 0.5225 0.5225
0.4771 0.1382 0.1382
0.4775 0.4775 0.8088
0.4775 0.8088 0.4775
0.5225 0.1912 0.5225
0.5225 0.5225 0.1912
0.5229 0.8618 0.8618
0.8088 0.4775 0.4775
0.8618 0.5229 0.8618
0.8618 0.8618 0.5229
```

[7]
In5Te6: relaxed, PBE.

Output
Total moment (μB per formula unit): 0.0
D(E_F) (states/eV/f.u.): 3.69
Energy relative to the elements, uncorrected (meV/atom): -285
Total DFT energy (no corrections) (eV per formula unit): -35.67

POSCAR file:
```
In5Te6
1.0
3.7637 -6.5163 0.0000
3.7637 6.5163 0.0000
-2.5230 0.0000 7.1284
In Te
5 6
Direct
0.0000 0.0000 0.0000
0.1626 0.8374 0.5000
0.3227 0.6773 0.0000
0.6773 0.3227 0.0000
0.8374 0.1626 0.5000
0.0877 0.4168 0.2517
0.2529 0.2529 0.7588
0.4168 0.0877 0.2517
0.5832 0.9123 0.7483
0.7471 0.7471 0.2412
0.9123 0.5832 0.7483
```

[8]
YErAg: relaxed, PBE.

Output
Total moment (μB per formula unit): 0.9
D(E_F) (states/eV/f.u.): 3.57
Relative energy among the computed polymorphs (eV/atom): 0.034
Total DFT energy (no corrections) (eV per formula unit): -14.43
Formation energy (kJ per mole of atoms): -17.81

POSCAR file:
```
YErAg
1.0
3.5886 0.0000 0.0000
0.0000 3.5886 0.0000
0.0000 0.0000 12.4711
Y Er Ag
2 2 2
Direct
0.0000 0.0000 0.0000
0.5000 0.5000 0.5000
0.0000 0.0000 0.2973
0.5000 0.5000 0.7973
0.0000 0.0000 0.6535
0.5000 0.5000 0.1535
```

[9]
Ac8Co3GeBr4: relaxed, PBE.

Output
Total moment (μB per formula unit): 0.0
D(E_F) (states/eV/f.u.): 11.60
Energy relative to the elements, uncorrected (meV/atom): -799
Total DFT energy (no corrections) (eV per formula unit): -78.27

POSCAR file:
```
Ac8Co3GeBr4
1.0
4.3605 2.5175 8.1300
-4.3605 2.5175 8.1300
0.0000 -5.0351 8.1300
Ac Co Ge Br
8 3 1 4
Direct
0.2130 0.7396 0.7396
0.2323 0.2323 0.2323
0.2604 0.2604 0.7870
0.2604 0.7870 0.2604
0.7396 0.2130 0.7396
0.7396 0.7396 0.2130
0.7677 0.7677 0.7677
0.7870 0.2604 0.2604
0.0000 0.0000 0.5000
0.0000 0.5000 0.0000
0.5000 0.0000 0.0000
0.5000 0.5000 0.5000
0.0000 0.0000 0.0000
0.0000 0.5000 0.5000
0.5000 0.0000 0.5000
0.5000 0.5000 0.0000
```

[10]
K2Pa3Se8: relaxed, PBE.

Output
Total moment (μB per formula unit): 1.2
D(E_F) (states/eV/f.u.): 8.85
Energy relative to the elements, uncorrected (meV/atom): -1381
Relative energy among the computed polymorphs (eV/atom): 0.000
Total DFT energy (no corrections) (eV per formula unit): -76.52

POSCAR file:
```
K2Pa3Se8
1.0
7.9709 -4.2558 0.0000
7.9709 4.2558 0.0000
-2.2911 0.0000 6.9131
K Pa Se
2 3 8
Direct
0.2313 0.2313 0.1596
0.7687 0.7687 0.8404
0.2431 0.7569 0.5000
0.5000 0.5000 0.0000
0.7569 0.2431 0.5000
0.1067 0.1067 0.4554
0.1730 0.6283 0.1119
0.3717 0.8270 0.8881
0.4008 0.4008 0.5981
0.5992 0.5992 0.4019
0.6283 0.1730 0.1119
0.8270 0.3717 0.8881
0.8933 0.8933 0.5446
```

[11]
MoPdPb2: relaxed, PBE.

Output
Total moment (μB per formula unit): 2.2
D(E_F) (states/eV/f.u.): 2.74
Relative energy among the computed polymorphs (eV/atom): 0.206
Total DFT energy (no corrections) (eV per formula unit): -20.68
Formation energy (kJ per mole of atoms): 66.55

POSCAR file:
```
MoPdPb2
1.0
7.6597 0.0000 0.0000
0.0000 7.6597 0.0000
0.0000 0.0000 6.2479
Mo Pd Pb
4 4 8
Direct
0.0000 0.0000 0.0000
0.0000 0.5000 0.2500
0.5000 0.0000 0.7500
0.5000 0.5000 0.5000
0.0000 0.0000 0.5000
0.0000 0.5000 0.7500
0.5000 0.0000 0.2500
0.5000 0.5000 0.0000
0.2351 0.2500 0.6250
0.2500 0.7351 0.8750
0.2500 0.7649 0.3750
0.2649 0.2500 0.1250
0.7351 0.7500 0.1250
0.7500 0.2351 0.3750
0.7500 0.2649 0.8750
0.7649 0.7500 0.6250
```

[12]
VPbCl2: relaxed, PBE.

Output
Total moment (μB per formula unit): 2.9
D(E_F) (states/eV/f.u.): 4.01
Energy relative to the elements, uncorrected (meV/atom): -169
Relative energy among the computed polymorphs (eV/atom): 0.522
Total DFT energy (no corrections) (eV per formula unit): -17.19

POSCAR file:
```
VPbCl2
1.0
6.7032 0.0000 0.0000
0.0000 6.7032 0.0000
0.0000 0.0000 10.8400
V Pb Cl
4 4 8
Direct
0.0000 0.0000 0.0000
0.0000 0.5000 0.2500
0.5000 0.0000 0.7500
0.5000 0.5000 0.5000
0.0000 0.0000 0.5000
0.0000 0.5000 0.7500
0.5000 0.0000 0.2500
0.5000 0.5000 0.0000
0.1408 0.2500 0.1250
0.2500 0.6408 0.3750
0.2500 0.8592 0.8750
0.3592 0.2500 0.6250
0.6408 0.7500 0.6250
0.7500 0.1408 0.8750
0.7500 0.3592 0.3750
0.8592 0.7500 0.1250
```